# 1
An optimized crystal structure of Au2S, computed with GGA-PBE.

```
6
Lattice="0.148 -3.506 4.265 -3.493 -4.274 0.184 1.886 -5.141 -0.716" Properties=species:S:1:pos:R:3 pbc="T T T"
Au -1.855 -5.505 2.692
Au 0.835 -5.939 2.242
Au -0.986 -6.323 0.201
Au -0.912 -8.076 2.334
S 0.000 0.000 0.000
S -0.365 -3.230 0.934
```

Computed properties:
The value obtained for the uncorrected energy is -8.60 eV per formula unit.



# 2
An optimized crystal structure of PrZr, computed with GGA-PBE.

```
12
Lattice="-5.037 -1.222 2.608 5.234 -1.082 9.605 -0.767 5.341 1.020" Properties=species:S:1:pos:R:3 pbc="T T T"
Pr -1.302 -0.774 3.074
Pr 0.246 -2.225 11.841
Pr -3.820 1.399 4.587
Pr -1.953 1.107 7.520
Pr 1.404 1.544 7.753
Pr 2.853 1.151 10.905
Zr 1.886 -0.412 3.575
Zr 0.187 -1.129 6.056
Zr -1.456 -1.921 8.967
Zr 1.606 -1.485 8.985
Zr -0.221 1.875 4.798
Zr -0.350 0.771 10.488
```

Computed properties:
The excess energy over the best structure of this formula in the dataset comes out at 0.12 eV/f.u. The formation energy comes out at 0.157 eV/atom. The value obtained for the uncorrected energy is -13.01 eV per formula unit.



# 3
An optimized crystal structure of GaSn2Mo2, computed with GGA-PBE.

```
20
Lattice="0.368 6.576 -7.587 -1.723 -9.456 2.924 -6.692 1.529 1.000" Properties=species:S:1:pos:R:3 pbc="T T T"
Ga -1.963 0.035 -1.160
Ga -2.640 -1.405 -3.492
Ga -5.406 0.053 -0.171
Ga -6.084 -1.387 -2.503
Mo -1.080 -2.497 -1.562
Mo -1.667 2.306 -2.649
Mo -2.344 0.866 -4.980
Mo -2.866 6.166 -6.394
Mo -5.180 -7.517 2.730
Mo -5.702 -2.217 1.317
Mo -6.380 -3.657 -1.014
Mo -6.967 1.146 -2.101
Sn -0.373 4.893 -6.331
Sn -1.702 -4.827 0.058
Sn -2.871 3.696 -4.866
Sn -3.752 -2.591 -0.728
Sn -4.295 1.239 -2.935
Sn -5.176 -5.047 1.203
Sn -6.345 3.475 -3.721
Sn -7.674 -6.244 2.668
```

Computed properties:
The value obtained for the uncorrected energy is -32.63 eV per formula unit.



# 4
An optimized crystal structure of SmTlSe2, computed with GGA-PBE.

```
4
Lattice="2.130 1.230 7.741 -2.130 1.230 7.741 0.000 -2.460 7.741" Properties=species:S:1:pos:R:3 pbc="T T T"
Se 0.000 0.000 6.120
Se 0.000 0.000 17.103
Sm 0.000 0.000 0.000
Tl 0.000 0.000 11.611
```

Computed properties:
The value obtained for the uncorrected energy is -19.59 eV per formula unit.